Entry from Alexandria via LeMat-Bulk: a PBEsol-optimized structure of Zn2NiW (SCAN).

Summary:
Energy relative to the lowest polymorph listed for this composition: 108 meV per atom
Final energy: -27.9318 eV per atom
ρ: 11.82 g/cm³
Volume: 13.11 Å³ per atom
Energy of formation: 0.29 eV/atom

a b c (Å): 4.5230 4.5230 4.5230
angles (deg): 130.39 130.39 72.78
Closest atoms and distances in Å follow each position.
Sites, in units of the cell vectors:
Zn 0.0000 0.0000 0.0000  4 W 2.63, 4 Zn 2.63, 4 Ni 2.68
Zn 0.7500 0.2500 0.5000  4 Ni 2.63, 4 Zn 2.63, 4 W 2.68
Ni 0.5000 0.5000 0.0000  8 Zn 2.63-2.68, 4 W 2.63
W 0.2500 0.7500 0.5000  4 Ni 2.63, 8 Zn 2.63-2.68

***

Entry from Alexandria via LeMat-Bulk: a PBEsol-optimized structure of ZnNi2W (SCAN).

Summary:
Final energy: -28.9757 eV per atom
ρ: 12.46 g/cm³
Volume: 12.21 Å³ per atom
Energy of formation: -0.09 eV/atom

a b c (Å): 2.6470 2.6470 6.9726
angles (deg): 90.00 90.00 90.00
Closest atoms and distances in Å follow each position.
Sites, in units of the cell vectors:
Zn 0.0000 0.0000 0.0000  8 Ni 2.50, 4 Zn 2.65
Ni 0.5000 0.5000 0.2386  4 Zn 2.50, 4 W 2.61, 4 Ni 2.65
Ni 0.5000 0.5000 0.7614  4 Zn 2.50, 4 W 2.61, 4 Ni 2.65
W 0.0000 0.0000 0.5000  8 Ni 2.61, 4 W 2.65

***

Entry from Alexandria via LeMat-Bulk: a PBEsol-optimized structure of ZrNiW (SCAN).

Summary:
Energy relative to the lowest polymorph listed for this composition: 1055 meV per atom
Final energy: -37.4844 eV per atom
ρ: 9.80 g/cm³
Volume: 18.85 Å³ per atom
Energy of formation: 1.37 eV/atom

a b c (Å): 4.3081 4.3081 4.3081
angles (deg): 60.00 60.00 60.00
Closest atoms and distances in Å follow each position.
Sites, in units of the cell vectors:
Zr 0.0000 0.0000 0.0000  4 Ni 2.64, 4 W 2.64
Ni 0.7500 0.7500 0.7500  4 Zr 2.64
W 0.2500 0.2500 0.2500  4 Zr 2.64

***

Entry from Alexandria via LeMat-Bulk: a PBEsol-optimized structure of ZrNi2W (SCAN).

Summary:
Energy relative to the lowest polymorph listed for this composition: 172 meV per atom
Final energy: -33.0589 eV per atom
ρ: 11.41 g/cm³
Volume: 14.28 Å³ per atom
Energy of formation: 0.12 eV/atom

a b c (Å): 4.9258 4.9258 4.9258
angles (deg): 135.89 135.89 64.15
Closest atoms and distances in Å follow each position.
Sites, in units of the cell vectors:
Zr 0.0000 0.0000 0.0000  8 Ni 2.62-2.79, 4 W 2.79
Ni 0.5000 0.5000 0.0000  4 Zr 2.62, 4 W 2.79, 4 Ni 2.79
Ni 0.7500 0.2500 0.5000  4 W 2.62, 4 Zr 2.79, 4 Ni 2.79
W 0.2500 0.7500 0.5000  8 Ni 2.62-2.79, 4 Zr 2.79

***

Entry from Alexandria via LeMat-Bulk: a PBEsol-optimized structure of ZrNiW3 (SCAN).

Summary:
Final energy: -48.1475 eV per atom
ρ: 11.55 g/cm³
Volume: 20.17 Å³ per atom
Energy of formation: 3.04 eV/atom

a b c (Å): 4.6551 4.6551 4.6551
angles (deg): 90.00 90.00 90.00
Closest atoms and distances in Å follow each position.
Sites, in units of the cell vectors:
Zr 0.0000 0.0000 0.0000  6 W 2.33
Ni 0.5000 0.5000 0.5000  12 W 3.29
W 0.0000 0.0000 0.5000  2 Zr 2.33
W 0.0000 0.5000 0.0000  2 Zr 2.33
W 0.5000 0.0000 0.0000  2 Zr 2.33

***

Entry from Alexandria via LeMat-Bulk: a PBEsol-optimized structure of ZrNiW (SCAN).

Summary:
Energy relative to the lowest polymorph listed for this composition: 0 meV per atom
Final energy: -38.5391 eV per atom
ρ: 11.63 g/cm³
Volume: 15.89 Å³ per atom
Energy of formation: 0.31 eV/atom

a b c (Å): 4.4837 4.4837 2.7380
angles (deg): 90.00 90.00 120.00
Closest atoms and distances in Å follow each position.
Sites, in units of the cell vectors:
Zr 0.0000 0.0000 0.0000  2 Zr 2.74, 6 Ni 2.93, 6 W 2.93
Ni 0.3333 0.6667 0.5024  3 W 2.59, 2 Ni 2.74
W 0.6667 0.3333 0.4987  3 Ni 2.59, 2 W 2.74

***

Entry from Alexandria via LeMat-Bulk: a PBEsol-optimized structure of ZrNi2W (SCAN).

Summary:
Energy relative to the lowest polymorph listed for this composition: 34 meV per atom
Final energy: -33.1977 eV per atom
ρ: 11.65 g/cm³
Volume: 13.99 Å³ per atom
Energy of formation: -0.01 eV/atom

a b c (Å): 4.6424 4.6424 2.7189
angles (deg): 90.09 90.09 107.30
Closest atoms and distances in Å follow each position.
Sites, in units of the cell vectors:
Zr 0.0000 0.0000 0.0000  8 Ni 2.69, 2 Zr 2.72, 2 W 2.75
Ni 0.0000 0.5000 0.5000  4 W 2.69, 4 Zr 2.69, 4 Ni 2.72-2.75
Ni 0.5000 0.0000 0.5000  4 W 2.69, 4 Zr 2.69, 4 Ni 2.72-2.75
W 0.5000 0.5000 0.0000  8 Ni 2.69, 2 W 2.72, 2 Zr 2.75

***

Entry from Alexandria via LeMat-Bulk: a PBEsol-optimized structure of ZrNi2W (SCAN).

Summary:
Energy relative to the lowest polymorph listed for this composition: 0 meV per atom
Final energy: -33.2312 eV per atom
ρ: 11.58 g/cm³
Volume: 14.07 Å³ per atom
Energy of formation: -0.05 eV/atom

a b c (Å): 2.7271 4.3443 4.7717
angles (deg): 90.00 95.37 90.00
Closest atoms and distances in Å follow each position.
Sites, in units of the cell vectors:
Zr 0.0000 0.0000 0.0000  7 Ni 2.60-2.73, 2 Zr 2.73
Ni 0.5695 0.0000 0.4843  4 W 2.53-2.75, 3 Zr 2.63-2.69, 4 Ni 2.69-2.73
Ni 0.5698 0.5000 0.1516  3 W 2.54-2.70, 4 Zr 2.60-2.73, 4 Ni 2.69-2.73
W 0.1684 0.5000 0.6113  7 Ni 2.53-2.75, 2 W 2.73

***

Entry from Alexandria via LeMat-Bulk: a PBEsol-optimized structure of YNi5 (SCAN).

Summary:
Final energy: -18.4331 eV per atom
ρ: 8.15 g/cm³
Volume: 12.98 Å³ per atom
Energy of formation: -0.31 eV/atom

a b c (Å): 4.8023 4.8023 3.8991
angles (deg): 90.00 90.00 120.00
Closest atoms and distances in Å follow each position.
Sites, in units of the cell vectors:
Y 0.0000 0.0000 0.0000  18 Ni 2.77-3.09
Ni 0.0000 0.5000 0.5000  8 Ni 2.39-2.40
Ni 0.3333 0.6667 0.0000  6 Ni 2.39
Ni 0.5000 0.0000 0.5000  8 Ni 2.39-2.40
Ni 0.5000 0.5000 0.5000  8 Ni 2.39-2.40
Ni 0.6667 0.3333 0.0000  6 Ni 2.39

***

Entry from Alexandria via LeMat-Bulk: a PBEsol-optimized structure of YNi (SCAN).

Summary:
Final energy: -22.4464 eV per atom
ρ: 6.36 g/cm³
Volume: 19.26 Å³ per atom
Energy of formation: -0.44 eV/atom

a b c (Å): 7.0325 4.0643 5.3919
angles (deg): 90.00 90.00 90.00
Closest atoms and distances in Å follow each position.
Sites, in units of the cell vectors:
Y 0.1800 0.2500 0.1318  7 Ni 2.83-2.93
Y 0.3200 0.7500 0.6318  7 Ni 2.83-2.93
Y 0.6800 0.2500 0.3682  7 Ni 2.83-2.93
Y 0.8200 0.7500 0.8682  7 Ni 2.83-2.93
Ni 0.0361 0.2500 0.6228  2 Ni 2.48
Ni 0.4639 0.7500 0.1228  2 Ni 2.48
Ni 0.5361 0.2500 0.8772  2 Ni 2.48
Ni 0.9639 0.7500 0.3772  2 Ni 2.48